1.
Entry from Alexandria via LeMat-Bulk: a relaxed Ac3TePdI crystal (PBE).

Its formation energy (no corrections) is -0.9889 eV per atom.

It has space group P2_1/m (No. 11), with a = 8.827 Å, b = 4.253 Å, c = 12.225 Å, α = 90.00°, β = 109.20° and γ = 90.00°. The distinct sites, in fractional coordinates, are Ac at (0.033, 0.250, 0.293), Ac at (0.220, 0.250, 0.039), Ac at (0.342, 0.750, 0.577), Te at (0.338, 0.750, 0.281), Pd at (0.082, 0.250, 0.566) and I at (0.361, 0.750, 0.870).

2.
Entry from Alexandria via LeMat-Bulk: a relaxed Mn2GaAu6 crystal (PBE).

Its formation energy is -81.9 kJ/mol of formula units. The energy relative to the lowest polymorph listed for this composition comes out at 0 meV/atom.

It has space group P4_2/mnm (No. 136), with a = 8.515 Å, b = 8.515 Å, c = 4.235 Å, α = 90.00°, β = 90.00° and γ = 90.00°. The distinct sites, in fractional coordinates, are Mn at (0.190, 0.190, 0.000), Ga at (0.000, 0.000, 0.500), Au at (0.019, 0.325, 0.500) and Au at (0.140, 0.860, 0.000).

3.
Entry from Alexandria via LeMat-Bulk: a relaxed Tb2ZnNi3P4 crystal (PBE).

Its formation energy is -834.4 kJ/mol of formula units.

It has space group P-4m2 (No. 115), with a = 4.006 Å, b = 4.006 Å, c = 9.398 Å, α = 90.00°, β = 90.00° and γ = 90.00°. The distinct sites, in fractional coordinates, are Tb at (0.000, 0.500, 0.239), Zn at (0.000, 0.000, 0.500), Ni at (0.000, 0.500, 0.886), Ni at (0.500, 0.500, 0.500), P at (0.000, 0.000, 0.000), P at (0.000, 0.500, 0.645) and P at (0.500, 0.500, 0.000).

4.
Entry from Alexandria via LeMat-Bulk: a relaxed CaPrRh2 crystal (PBE).

Its formation energy is -190.0 kJ/mol of formula units.

It has space group Fm-3m (No. 225), with a = 6.990 Å, b = 6.990 Å, c = 6.990 Å, α = 90.00°, β = 90.00° and γ = 90.00°. The distinct sites, in fractional coordinates, are Ca at (0.000, 0.000, 0.000), Pr at (0.000, 0.000, 0.500) and Rh at (0.250, 0.250, 0.250).

5.
Entry from Alexandria via LeMat-Bulk: a relaxed Er4GaGe2 crystal (PBE).

Its formation energy is -473.4 kJ/mol of formula units.

It has space group I-42d (No. 122), with a = 8.783 Å, b = 8.783 Å, c = 8.771 Å, α = 90.00°, β = 90.00° and γ = 90.00°. The distinct sites, in fractional coordinates, are Er at (0.068, 0.181, 0.308), Ga at (0.000, 0.000, 0.000) and Ge at (0.128, 0.250, 0.625).

6.
Entry from Alexandria via LeMat-Bulk: a relaxed KCeAg2Cl8 crystal (PBE).

Its formation energy (no corrections) is -1.2810 eV per atom.

It has space group P-1 (No. 2), with a = 6.486 Å, b = 6.763 Å, c = 8.974 Å, α = 99.12°, β = 105.01° and γ = 91.82°. The distinct sites, in fractional coordinates, are K at (0.000, 0.000, 0.000), Ce at (0.000, 0.000, 0.500), Ag at (0.479, 0.388, 0.804), Cl at (0.216, 0.480, 0.970), Cl at (0.228, 0.350, 0.537), Cl at (0.237, 0.845, 0.319) and Cl at (0.271, 0.920, 0.754).

no.,N(E_F) (states/eV/cell)
1,6.71
2,8.04
3,3.70
4,9.76
5,25.22
6,3.14